Compound: Ho8InSb2
Source: Alexandria
Functional: PBE
Structure: optimized geometry

```
data_Ho8InSb2
_chemical_formula_sum 'Ho8 In1 Sb2'
_cell_length_a 9.883
_cell_length_b 9.883
_cell_length_c 6.912
_cell_angle_alpha 101.34
_cell_angle_beta 101.34
_cell_angle_gamma 29.18
_symmetry_space_group_name_H-M 'P 1'
_symmetry_Int_Tables_number 1
loop_
_symmetry_equiv_pos_as_xyz
'x,y,z'
loop_
_atom_site_label
_atom_site_type_symbol
_atom_site_fract_x
_atom_site_fract_y
_atom_site_fract_z
Ho1 Ho 0.018 0.018 0.258
Ho2 Ho 0.215 0.215 0.842
Ho3 Ho 0.339 0.339 0.483
Ho4 Ho 0.407 0.407 0.016
Ho5 Ho 0.593 0.593 0.984
Ho6 Ho 0.661 0.661 0.517
Ho7 Ho 0.785 0.785 0.158
Ho8 Ho 0.982 0.982 0.742
In1 In 0.500 0.500 0.500
Sb1 Sb 0.180 0.180 0.268
Sb2 Sb 0.820 0.820 0.732
```

Calculated values
**Density of states at the Fermi level**: 11.38 states/eV per cell
**Energy relative to the elements, uncorrected**: -0.388 eV per atom
**Total magnetic moment**: 0.00 Bohr magnetons per cell



Compound: HoInSb
Source: Alexandria
Functional: PBE
Structure: optimized geometry

```
data_HoInSb
_chemical_formula_sum 'Ho2 In2 Sb2'
_cell_length_a 6.008
_cell_length_b 3.895
_cell_length_c 7.819
_cell_angle_alpha 90.00
_cell_angle_beta 112.46
_cell_angle_gamma 90.00
_symmetry_space_group_name_H-M 'P 1'
_symmetry_Int_Tables_number 1
loop_
_symmetry_equiv_pos_as_xyz
'x,y,z'
loop_
_atom_site_label
_atom_site_type_symbol
_atom_site_fract_x
_atom_site_fract_y
_atom_site_fract_z
Ho1 Ho 0.135 0.000 0.272
Ho2 Ho 0.865 0.000 0.728
In1 In 0.310 0.500 0.619
In2 In 0.690 0.500 0.381
Sb1 Sb 0.252 0.500 0.001
Sb2 Sb 0.748 0.500 0.999
```

Calculated values
**Density of states at the Fermi level**: 2.82 states/eV per cell
**Energy relative to the elements, uncorrected**: -0.403 eV per atom
**Total magnetic moment**: 0.00 Bohr magnetons per cell



Compound: Ho5In2Sb
Source: Alexandria
Functional: PBE
Structure: optimized geometry

```
data_Ho5In2Sb
_chemical_formula_sum 'Ho10 In4 Sb2'
_cell_length_a 8.715
_cell_length_b 8.715
_cell_length_c 8.715
_cell_angle_alpha 122.68
_cell_angle_beta 122.68
_cell_angle_gamma 85.42
_symmetry_space_group_name_H-M 'P 1'
_symmetry_Int_Tables_number 1
loop_
_symmetry_equiv_pos_as_xyz
'x,y,z'
loop_
_atom_site_label
_atom_site_type_symbol
_atom_site_fract_x
_atom_site_fract_y
_atom_site_fract_z
Ho1 Ho 0.000 0.000 0.000
Ho2 Ho 0.003 0.503 0.809
Ho3 Ho 0.194 0.003 0.500
Ho4 Ho 0.306 0.806 0.809
Ho5 Ho 0.497 0.306 0.500
Ho6 Ho 0.500 0.500 0.000
Ho7 Ho 0.503 0.694 0.500
Ho8 Ho 0.694 0.194 0.191
Ho9 Ho 0.806 0.997 0.500
Ho10 Ho 0.997 0.497 0.191
In1 In 0.145 0.355 0.500
In2 In 0.355 0.855 0.211
In3 In 0.645 0.145 0.789
In4 In 0.855 0.645 0.500
Sb1 Sb 0.250 0.250 0.000
Sb2 Sb 0.750 0.750 0.000
```

Calculated values
**Density of states at the Fermi level**: 16.27 states/eV per cell
**Energy relative to the elements, uncorrected**: -0.518 eV per atom
**Relative energy among the computed polymorphs**: 0.0 meV per atom
**Total magnetic moment**: 0.00 Bohr magnetons per cell



Compound: Ho5In2Sb
Source: Alexandria
Functional: PBE
Structure: optimized geometry

```
data_Ho5In2Sb
_chemical_formula_sum 'Ho5 In2 Sb1'
_cell_length_a 6.574
_cell_length_b 6.574
_cell_length_c 6.574
_cell_angle_alpha 110.59
_cell_angle_beta 110.59
_cell_angle_gamma 107.25
_symmetry_space_group_name_H-M 'P 1'
_symmetry_Int_Tables_number 1
loop_
_symmetry_equiv_pos_as_xyz
'x,y,z'
loop_
_atom_site_label
_atom_site_type_symbol
_atom_site_fract_x
_atom_site_fract_y
_atom_site_fract_z
Ho1 Ho 0.000 0.000 0.000
Ho2 Ho 0.471 0.471 0.532
Ho3 Ho 0.471 0.939 0.000
Ho4 Ho 0.939 0.471 0.000
Ho5 Ho 0.939 0.939 0.468
In1 In 0.463 0.963 0.500
In2 In 0.963 0.463 0.500
Sb1 Sb 0.408 0.408 0.000
```

Calculated values
**Density of states at the Fermi level**: 8.95 states/eV per cell
**Energy relative to the elements, uncorrected**: -0.381 eV per atom
**Relative energy among the computed polymorphs**: 137.0 meV per atom
**Total magnetic moment**: 0.00 Bohr magnetons per cell



Compound: Ho4InSbTe2
Source: Alexandria
Functional: PBE
Structure: optimized geometry

```
data_Ho4InSbTe2
_chemical_formula_sum 'Ho4 In1 Sb1 Te2'
_cell_length_a 7.616
_cell_length_b 4.273
_cell_length_c 7.627
_cell_angle_alpha 90.00
_cell_angle_beta 108.56
_cell_angle_gamma 90.00
_symmetry_space_group_name_H-M 'P 1'
_symmetry_Int_Tables_number 1
loop_
_symmetry_equiv_pos_as_xyz
'x,y,z'
loop_
_atom_site_label
_atom_site_type_symbol
_atom_site_fract_x
_atom_site_fract_y
_atom_site_fract_z
Ho1 Ho 0.247 0.000 0.242
Ho2 Ho 0.251 0.500 0.763
Ho3 Ho 0.749 0.500 0.237
Ho4 Ho 0.753 0.000 0.758
In1 In 0.000 0.500 0.000
Sb1 Sb 0.500 0.000 0.000
Te1 Te 0.000 0.000 0.500
Te2 Te 0.500 0.500 0.500
```

Calculated values
**Density of states at the Fermi level**: 2.78 states/eV per cell
**Energy relative to the elements, uncorrected**: -1.013 eV per atom
**Total magnetic moment**: 0.00 Bohr magnetons per cell



Compound: HoSc2In
Source: Alexandria
Functional: PBE
Structure: optimized geometry

```
data_HoSc2In
_chemical_formula_sum 'Ho1 Sc2 In1'
_cell_length_a 5.183
_cell_length_b 5.183
_cell_length_c 5.183
_cell_angle_alpha 60.00
_cell_angle_beta 60.00
_cell_angle_gamma 60.00
_symmetry_space_group_name_H-M 'P 1'
_symmetry_Int_Tables_number 1
loop_
_symmetry_equiv_pos_as_xyz
'x,y,z'
loop_
_atom_site_label
_atom_site_type_symbol
_atom_site_fract_x
_atom_site_fract_y
_atom_site_fract_z
Ho1 Ho 0.000 0.000 0.000
Sc1 Sc 0.250 0.250 0.250
Sc2 Sc 0.750 0.750 0.750
In1 In 0.500 0.500 0.500
```

Calculated values
**Density of states at the Fermi level**: 5.92 states/eV per cell
**Relative energy among the computed polymorphs**: 135.9 meV per atom
**ΔE_f**: -0.1290 eV per atom
**Total magnetic moment**: 1.51 Bohr magnetons per cell



Compound: Ho2Sc3In4
Source: Alexandria
Functional: PBE
Structure: optimized geometry

```
data_Ho2Sc3In4
_chemical_formula_sum 'Ho4 Sc6 In8'
_cell_length_a 8.684
_cell_length_b 8.684
_cell_length_c 8.701
_cell_angle_alpha 90.00
_cell_angle_beta 90.00
_cell_angle_gamma 134.85
_symmetry_space_group_name_H-M 'P 1'
_symmetry_Int_Tables_number 1
loop_
_symmetry_equiv_pos_as_xyz
'x,y,z'
loop_
_atom_site_label
_atom_site_type_symbol
_atom_site_fract_x
_atom_site_fract_y
_atom_site_fract_z
Ho1 Ho 0.113 0.887 0.921
Ho2 Ho 0.387 0.613 0.421
Ho3 Ho 0.613 0.387 0.579
Ho4 Ho 0.887 0.113 0.079
Sc1 Sc 0.000 0.000 0.500
Sc2 Sc 0.035 0.465 0.750
Sc3 Sc 0.465 0.035 0.250
Sc4 Sc 0.500 0.500 0.000
Sc5 Sc 0.535 0.965 0.750
Sc6 Sc 0.965 0.535 0.250
In1 In 0.184 0.816 0.543
In2 In 0.215 0.285 0.750
In3 In 0.285 0.215 0.250
In4 In 0.316 0.684 0.043
In5 In 0.684 0.316 0.957
In6 In 0.715 0.785 0.750
In7 In 0.785 0.715 0.250
In8 In 0.816 0.184 0.457
```

Calculated values
**Density of states at the Fermi level**: 16.69 states/eV per cell
**ΔE_f**: -0.2797 eV per atom
**Total magnetic moment**: 0.00 Bohr magnetons per cell



Compound: Ho3Sc2In4
Source: Alexandria
Functional: PBE
Structure: optimized geometry

```
data_Ho3Sc2In4
_chemical_formula_sum 'Ho6 Sc4 In8'
_cell_length_a 8.038
_cell_length_b 8.038
_cell_length_c 10.040
_cell_angle_alpha 90.00
_cell_angle_beta 90.00
_cell_angle_gamma 130.25
_symmetry_space_group_name_H-M 'P 1'
_symmetry_Int_Tables_number 1
loop_
_symmetry_equiv_pos_as_xyz
'x,y,z'
loop_
_atom_site_label
_atom_site_type_symbol
_atom_site_fract_x
_atom_site_fract_y
_atom_site_fract_z
Ho1 Ho 0.000 0.000 0.000
Ho2 Ho 0.004 0.496 0.250
Ho3 Ho 0.496 0.004 0.750
Ho4 Ho 0.500 0.500 0.500
Ho5 Ho 0.504 0.996 0.250
Ho6 Ho 0.996 0.504 0.750
Sc1 Sc 0.100 0.900 0.497
Sc2 Sc 0.400 0.600 0.997
Sc3 Sc 0.600 0.400 0.003
Sc4 Sc 0.900 0.100 0.503
In1 In 0.202 0.798 0.002
In2 In 0.249 0.251 0.750
In3 In 0.251 0.249 0.250
In4 In 0.298 0.702 0.502
In5 In 0.702 0.298 0.498
In6 In 0.749 0.751 0.750
In7 In 0.751 0.749 0.250
In8 In 0.798 0.202 0.998
```

Calculated values
**Density of states at the Fermi level**: 15.63 states/eV per cell
**ΔE_f**: -0.1797 eV per atom
**Total magnetic moment**: 0.00 Bohr magnetons per cell



Compound: Ho15Sc4In
Source: Alexandria
Functional: PBE
Structure: optimized geometry

```
data_Ho15Sc4In
_chemical_formula_sum 'Ho15 Sc4 In1'
_cell_length_a 4.857
_cell_length_b 4.857
_cell_length_c 24.614
_cell_angle_alpha 90.00
_cell_angle_beta 90.00
_cell_angle_gamma 90.00
_symmetry_space_group_name_H-M 'P 1'
_symmetry_Int_Tables_number 1
loop_
_symmetry_equiv_pos_as_xyz
'x,y,z'
loop_
_atom_site_label
_atom_site_type_symbol
_atom_site_fract_x
_atom_site_fract_y
_atom_site_fract_z
Ho1 Ho 0.000 0.000 0.000
Ho2 Ho 0.000 0.000 0.199
Ho3 Ho 0.000 0.000 0.399
Ho4 Ho 0.000 0.000 0.601
Ho5 Ho 0.000 0.000 0.801
Ho6 Ho 0.000 0.500 0.100
Ho7 Ho 0.000 0.500 0.300
Ho8 Ho 0.000 0.500 0.500
Ho9 Ho 0.000 0.500 0.700
Ho10 Ho 0.000 0.500 0.900
Ho11 Ho 0.500 0.000 0.100
Ho12 Ho 0.500 0.000 0.300
Ho13 Ho 0.500 0.000 0.500
Ho14 Ho 0.500 0.000 0.700
Ho15 Ho 0.500 0.000 0.900
Sc1 Sc 0.500 0.500 0.200
Sc2 Sc 0.500 0.500 0.400
Sc3 Sc 0.500 0.500 0.600
Sc4 Sc 0.500 0.500 0.800
In1 In 0.500 0.500 0.000
```

Calculated values
**Density of states at the Fermi level**: 26.63 states/eV per cell
**ΔE_f**: -0.0219 eV per atom
**Total magnetic moment**: 0.00 Bohr magnetons per cell



Compound: HoSc5In2
Source: Alexandria
Functional: PBE
Structure: optimized geometry

```
data_HoSc5In2
_chemical_formula_sum 'Ho2 Sc10 In4'
_cell_length_a 5.980
_cell_length_b 5.980
_cell_length_c 15.849
_cell_angle_alpha 90.00
_cell_angle_beta 90.00
_cell_angle_gamma 133.45
_symmetry_space_group_name_H-M 'P 1'
_symmetry_Int_Tables_number 1
loop_
_symmetry_equiv_pos_as_xyz
'x,y,z'
loop_
_atom_site_label
_atom_site_type_symbol
_atom_site_fract_x
_atom_site_fract_y
_atom_site_fract_z
Ho1 Ho 0.219 0.781 0.750
Ho2 Ho 0.781 0.219 0.250
Sc1 Sc 0.062 0.938 0.250
Sc2 Sc 0.131 0.869 0.541
Sc3 Sc 0.131 0.869 0.959
Sc4 Sc 0.444 0.556 0.600
Sc5 Sc 0.444 0.556 0.900
Sc6 Sc 0.556 0.444 0.100
Sc7 Sc 0.556 0.444 0.400
Sc8 Sc 0.869 0.131 0.041
Sc9 Sc 0.869 0.131 0.459
Sc10 Sc 0.938 0.062 0.750
In1 In 0.263 0.737 0.123
In2 In 0.263 0.737 0.377
In3 In 0.737 0.263 0.623
In4 In 0.737 0.263 0.877
```

Calculated values
**Density of states at the Fermi level**: 25.12 states/eV per cell
**Relative energy among the computed polymorphs**: 158.5 meV per atom
**ΔE_f**: -0.1155 eV per atom
**Total magnetic moment**: 0.02 Bohr magnetons per cell



Compound: Ho3Sc5In12
Source: Alexandria
Functional: PBE
Structure: optimized geometry

```
data_Ho3Sc5In12
_chemical_formula_sum 'Ho12 Sc20 In48'
_cell_length_a 15.063
_cell_length_b 15.063
_cell_length_c 15.063
_cell_angle_alpha 109.47
_cell_angle_beta 109.47
_cell_angle_gamma 109.47
_symmetry_space_group_name_H-M 'P 1'
_symmetry_Int_Tables_number 1
loop_
_symmetry_equiv_pos_as_xyz
'x,y,z'
loop_
_atom_site_label
_atom_site_type_symbol
_atom_site_fract_x
_atom_site_fract_y
_atom_site_fract_z
Ho1 Ho 0.125 0.250 0.375
Ho2 Ho 0.125 0.375 0.750
Ho3 Ho 0.250 0.375 0.125
Ho4 Ho 0.250 0.875 0.625
Ho5 Ho 0.375 0.125 0.250
Ho6 Ho 0.375 0.750 0.125
Ho7 Ho 0.625 0.250 0.875
Ho8 Ho 0.625 0.875 0.750
Ho9 Ho 0.750 0.125 0.375
Ho10 Ho 0.750 0.625 0.875
Ho11 Ho 0.875 0.625 0.250
Ho12 Ho 0.875 0.750 0.625
Sc1 Sc 0.000 0.000 0.000
Sc2 Sc 0.000 0.000 0.500
Sc3 Sc 0.000 0.500 0.000
Sc4 Sc 0.000 0.500 0.500
Sc5 Sc 0.125 0.750 0.875
Sc6 Sc 0.125 0.875 0.250
Sc7 Sc 0.250 0.125 0.875
Sc8 Sc 0.250 0.625 0.375
Sc9 Sc 0.375 0.250 0.625
Sc10 Sc 0.375 0.625 0.750
Sc11 Sc 0.500 0.000 0.000
Sc12 Sc 0.500 0.000 0.500
Sc13 Sc 0.500 0.500 0.000
Sc14 Sc 0.500 0.500 0.500
Sc15 Sc 0.625 0.375 0.250
Sc16 Sc 0.625 0.750 0.375
Sc17 Sc 0.750 0.375 0.625
Sc18 Sc 0.750 0.875 0.125
Sc19 Sc 0.875 0.125 0.750
Sc20 Sc 0.875 0.250 0.125
In1 In 0.068 0.223 0.144
In2 In 0.068 0.345 0.924
In3 In 0.076 0.644 0.421
In4 In 0.076 0.932 0.655
In5 In 0.079 0.723 0.655
In6 In 0.079 0.856 0.424
In7 In 0.144 0.068 0.223
In8 In 0.144 0.576 0.921
In9 In 0.155 0.223 0.579
In10 In 0.155 0.432 0.576
In11 In 0.223 0.144 0.068
In12 In 0.223 0.579 0.155
In13 In 0.277 0.345 0.921
In14 In 0.277 0.432 0.356
In15 In 0.345 0.921 0.277
In16 In 0.345 0.924 0.068
In17 In 0.356 0.277 0.432
In18 In 0.356 0.579 0.924
In19 In 0.421 0.076 0.644
In20 In 0.421 0.845 0.777
In21 In 0.424 0.079 0.856
In22 In 0.424 0.845 0.568
In23 In 0.432 0.356 0.277
In24 In 0.432 0.576 0.155
In25 In 0.568 0.424 0.845
In26 In 0.568 0.644 0.723
In27 In 0.576 0.155 0.432
In28 In 0.576 0.921 0.144
In29 In 0.579 0.155 0.223
In30 In 0.579 0.924 0.356
In31 In 0.644 0.421 0.076
In32 In 0.644 0.723 0.568
In33 In 0.655 0.076 0.932
In34 In 0.655 0.079 0.723
In35 In 0.723 0.568 0.644
In36 In 0.723 0.655 0.079
In37 In 0.777 0.421 0.845
In38 In 0.777 0.856 0.932
In39 In 0.845 0.568 0.424
In40 In 0.845 0.777 0.421
In41 In 0.856 0.424 0.079
In42 In 0.856 0.932 0.777
In43 In 0.921 0.144 0.576
In44 In 0.921 0.277 0.345
In45 In 0.924 0.068 0.345
In46 In 0.924 0.356 0.579
In47 In 0.932 0.655 0.076
In48 In 0.932 0.777 0.856
```

Calculated values
**Density of states at the Fermi level**: 62.97 states/eV per cell
**ΔE_f**: 0.2365 eV per atom
**Total magnetic moment**: 0.00 Bohr magnetons per cell



Compound: Ho2Sc2In
Source: Alexandria
Functional: PBE
Structure: optimized geometry

```
data_Ho2Sc2In
_chemical_formula_sum 'Ho4 Sc4 In2'
_cell_length_a 7.716
_cell_length_b 7.716
_cell_length_c 4.567
_cell_angle_alpha 90.00
_cell_angle_beta 90.00
_cell_angle_gamma 90.00
_symmetry_space_group_name_H-M 'P 1'
_symmetry_Int_Tables_number 1
loop_
_symmetry_equiv_pos_as_xyz
'x,y,z'
loop_
_atom_site_label
_atom_site_type_symbol
_atom_site_fract_x
_atom_site_fract_y
_atom_site_fract_z
Ho1 Ho 0.156 0.344 0.000
Ho2 Ho 0.344 0.844 0.000
Ho3 Ho 0.656 0.156 0.000
Ho4 Ho 0.844 0.656 0.000
Sc1 Sc 0.145 0.645 0.500
Sc2 Sc 0.355 0.145 0.500
Sc3 Sc 0.645 0.855 0.500
Sc4 Sc 0.855 0.355 0.500
In1 In 0.000 0.000 0.500
In2 In 0.500 0.500 0.500
```

Calculated values
**Density of states at the Fermi level**: 10.41 states/eV per cell
**Relative energy among the computed polymorphs**: 0.0 meV per atom
**ΔE_f**: -0.0641 eV per atom
**Total magnetic moment**: 0.00 Bohr magnetons per cell